No. 1
Density functional theory data (PBE-GGA) for a relaxed Sr2TcP crystal.

Lattice parameters (Å, degrees): 3.889 5.143 10.754 90.00 90.00 90.00
Atoms (fractional coordinates):
1 Sr 0.000 0.000 0.000
2 Sr 0.000 0.500 0.206
3 Sr 0.500 0.000 0.706
4 Sr 0.500 0.500 0.500
5 Tc 0.000 0.000 0.379
6 Tc 0.500 0.500 0.879
7 P 0.000 0.500 0.772
8 P 0.500 0.000 0.272

Properties
Symmetry ... Imm2 (44)
DFT formation energy ... -0.163 eV/atom

---

No. 2
Density functional theory data (PBE-GGA) for a relaxed SrTcP crystal.

Lattice parameters (Å, degrees): 4.066 4.066 8.960 90.00 90.00 90.00
Atoms (fractional coordinates):
1 Sr 0.250 0.250 0.199
2 Sr 0.750 0.750 0.801
3 Tc 0.250 0.750 0.500
4 Tc 0.750 0.250 0.500
5 P 0.250 0.250 0.639
6 P 0.750 0.750 0.361

Properties
Symmetry ... P4/nmm (129)
DFT formation energy ... -0.691 eV/atom

---

No. 3
Density functional theory data (PBE-GGA) for a relaxed SrTc2P2 crystal.

Lattice parameters (Å, degrees): 4.120 4.120 11.046 90.00 90.00 90.00
Atoms (fractional coordinates):
1 Sr 0.000 0.000 0.000
2 Sr 0.500 0.500 0.500
3 Tc 0.000 0.500 0.250
4 Tc 0.000 0.500 0.750
5 Tc 0.500 0.000 0.250
6 Tc 0.500 0.000 0.750
7 P 0.000 0.000 0.355
8 P 0.000 0.000 0.645
9 P 0.500 0.500 0.145
10 P 0.500 0.500 0.855

Properties
Symmetry ... I4/mmm (139)
DFT formation energy ... -0.741 eV/atom

---

No. 4
Density functional theory data (PBE-GGA) for a relaxed Sr2TcP crystal.

Lattice parameters (Å, degrees): 7.537 7.537 7.537 90.00 90.00 90.00
Atoms (fractional coordinates):
1 Sr 0.250 0.250 0.250
2 Sr 0.250 0.250 0.750
3 Sr 0.250 0.750 0.250
4 Sr 0.250 0.750 0.750
5 Sr 0.750 0.250 0.250
6 Sr 0.750 0.250 0.750
7 Sr 0.750 0.750 0.250
8 Sr 0.750 0.750 0.750
9 Tc 0.000 0.000 0.000
10 Tc 0.000 0.500 0.500
11 Tc 0.500 0.000 0.500
12 Tc 0.500 0.500 0.000
13 P 0.000 0.000 0.500
14 P 0.000 0.500 0.000
15 P 0.500 0.000 0.000
16 P 0.500 0.500 0.500

Properties
Symmetry ... Fm-3m (225)
DFT formation energy ... 0.427 eV/atom

---

No. 5
Density functional theory data (PBE-GGA) for a relaxed SrTcP crystal.

Lattice parameters (Å, degrees): 6.401 6.401 6.401 90.00 90.00 90.00
Atoms (fractional coordinates):
1 Sr 0.000 0.000 0.000
2 Sr 0.000 0.500 0.500
3 Sr 0.500 0.000 0.500
4 Sr 0.500 0.500 0.000
5 Tc 0.000 0.000 0.500
6 Tc 0.000 0.500 0.000
7 Tc 0.500 0.000 0.000
8 Tc 0.500 0.500 0.500
9 P 0.250 0.250 0.750
10 P 0.250 0.750 0.250
11 P 0.750 0.250 0.250
12 P 0.750 0.750 0.750

Properties
Symmetry ... F-43m (216)
DFT formation energy ... 0.304 eV/atom

---

No. 6
Density functional theory data (PBE-GGA) for a relaxed Sr2TcP2 crystal.

Lattice parameters (Å, degrees): 6.596 6.596 4.784 90.00 90.00 90.00
Atoms (fractional coordinates):
1 Sr 0.179 0.321 0.000
2 Sr 0.321 0.821 0.000
3 Sr 0.679 0.179 0.000
4 Sr 0.821 0.679 0.000
5 Tc 0.000 0.000 0.500
6 Tc 0.500 0.500 0.500
7 P 0.133 0.633 0.500
8 P 0.367 0.133 0.500
9 P 0.633 0.867 0.500
10 P 0.867 0.367 0.500

Properties
Symmetry ... P4/mbm (127)
DFT formation energy ... -0.500 eV/atom

---

No. 7
Density functional theory data (PBE-GGA) for a relaxed Sr2TcP crystal.

Lattice parameters (Å, degrees): 4.825 4.825 4.254 90.00 90.00 90.00
Atoms (fractional coordinates):
1 Sr 0.000 0.500 0.000
2 Sr 0.500 0.000 0.000
3 Tc 0.000 0.000 0.500
4 P 0.500 0.500 0.500

Properties
Symmetry ... P4/mmm (123)
DFT formation energy ... 0.307 eV/atom

---

No. 8
Density functional theory data (PBE-GGA) for a relaxed SrTcP crystal.

Lattice parameters (Å, degrees): 3.240 3.240 11.200 90.00 90.00 90.00
Atoms (fractional coordinates):
1 Sr 0.000 0.000 0.000
2 Sr 0.500 0.500 0.500
3 Tc 0.000 0.000 0.712
4 Tc 0.500 0.500 0.212
5 P 0.000 0.000 0.291
6 P 0.500 0.500 0.791

Properties
Symmetry ... I4mm (107)
DFT formation energy ... -0.338 eV/atom

---

No. 9
Density functional theory data (PBE-GGA) for a relaxed Sr2TcP crystal.

Lattice parameters (Å, degrees): 7.115 7.115 7.115 90.00 90.00 90.00
Atoms (fractional coordinates):
1 Sr 0.000 0.000 0.000
2 Sr 0.000 0.500 0.500
3 Sr 0.250 0.250 0.250
4 Sr 0.250 0.750 0.750
5 Sr 0.500 0.000 0.500
6 Sr 0.500 0.500 0.000
7 Sr 0.750 0.250 0.750
8 Sr 0.750 0.750 0.250
9 Tc 0.250 0.250 0.750
10 Tc 0.250 0.750 0.250
11 Tc 0.750 0.250 0.250
12 Tc 0.750 0.750 0.750
13 P 0.000 0.000 0.500
14 P 0.000 0.500 0.000
15 P 0.500 0.000 0.000
16 P 0.500 0.500 0.500

Properties
Symmetry ... F-43m (216)
DFT formation energy ... 0.439 eV/atom

---

No. 10
Density functional theory data (PBE-GGA) for a relaxed Sr2TcP crystal.

Lattice parameters (Å, degrees): 4.083 4.785 11.245 90.00 90.00 90.00
Atoms (fractional coordinates):
1 Sr 0.000 0.000 0.000
2 Sr 0.000 0.500 0.500
3 Sr 0.500 0.000 0.286
4 Sr 0.500 0.500 0.786
5 Tc 0.000 0.000 0.685
6 Tc 0.000 0.500 0.185
7 P 0.500 0.000 0.590
8 P 0.500 0.500 0.090

Properties
Symmetry ... Amm2 (38)
DFT formation energy ... -0.276 eV/atom

---

No. 11
Density functional theory data (PBE-GGA) for a relaxed SrTc4P crystal.

Lattice parameters (Å, degrees): 5.314 5.314 5.314 60.00 60.00 60.00
Atoms (fractional coordinates):
1 Sr 0.000 0.000 0.000
2 Tc 0.131 0.623 0.623
3 Tc 0.623 0.131 0.623
4 Tc 0.623 0.623 0.131
5 Tc 0.623 0.623 0.623
6 P 0.250 0.250 0.250

Properties
Symmetry ... F-43m (216)
DFT formation energy ... 0.660 eV/atom

---

No. 12
Density functional theory data (PBE-GGA) for a relaxed Sr2TcP crystal.

Lattice parameters (Å, degrees): 4.370 4.370 24.253 90.00 90.00 120.00
Atoms (fractional coordinates):
1 Sr 0.000 0.000 0.233
2 Sr 0.000 0.000 0.767
3 Sr 0.333 0.667 0.434
4 Sr 0.333 0.667 0.899
5 Sr 0.667 0.333 0.101
6 Sr 0.667 0.333 0.566
7 Tc 0.000 0.000 0.000
8 Tc 0.333 0.667 0.667
9 Tc 0.667 0.333 0.333
10 P 0.000 0.000 0.500
11 P 0.333 0.667 0.167
12 P 0.667 0.333 0.833

Properties
Symmetry ... R-3m (166)
DFT formation energy ... 0.452 eV/atom

---

Please write out number 9 again, unchanged.
Density functional theory data (PBE-GGA) for a relaxed Sr2TcP crystal.

Lattice parameters (Å, degrees): 7.115 7.115 7.115 90.00 90.00 90.00
Atoms (fractional coordinates):
1 Sr 0.000 0.000 0.000
2 Sr 0.000 0.500 0.500
3 Sr 0.250 0.250 0.250
4 Sr 0.250 0.750 0.750
5 Sr 0.500 0.000 0.500
6 Sr 0.500 0.500 0.000
7 Sr 0.750 0.250 0.750
8 Sr 0.750 0.750 0.250
9 Tc 0.250 0.250 0.750
10 Tc 0.250 0.750 0.250
11 Tc 0.750 0.250 0.250
12 Tc 0.750 0.750 0.750
13 P 0.000 0.000 0.500
14 P 0.000 0.500 0.000
15 P 0.500 0.000 0.000
16 P 0.500 0.500 0.500

Properties
Symmetry ... F-43m (216)
DFT formation energy ... 0.439 eV/atom

---

What did the fourth record say?
Density functional theory data (PBE-GGA) for a relaxed Sr2TcP crystal.

Lattice parameters (Å, degrees): 7.537 7.537 7.537 90.00 90.00 90.00
Atoms (fractional coordinates):
1 Sr 0.250 0.250 0.250
2 Sr 0.250 0.250 0.750
3 Sr 0.250 0.750 0.250
4 Sr 0.250 0.750 0.750
5 Sr 0.750 0.250 0.250
6 Sr 0.750 0.250 0.750
7 Sr 0.750 0.750 0.250
8 Sr 0.750 0.750 0.750
9 Tc 0.000 0.000 0.000
10 Tc 0.000 0.500 0.500
11 Tc 0.500 0.000 0.500
12 Tc 0.500 0.500 0.000
13 P 0.000 0.000 0.500
14 P 0.000 0.500 0.000
15 P 0.500 0.000 0.000
16 P 0.500 0.500 0.500

Properties
Symmetry ... Fm-3m (225)
DFT formation energy ... 0.427 eV/atom

---

Q: DFT formation energy of number 9 (Sr2TcP)?
A: 0.439 eV/atom